The following is a PBE calculation of a relaxed structure of SiMoRh2, from Alexandria.

The calculation puts the final energy at -7.993 eV per atom.

It has space group R3m (No. 160, hexagonal axes), with a = 2.8087 Å, b = 2.8087 Å, c = 25.2114 Å, α = 90.00°, β = 90.00° and γ = 120.00°. Symmetry generates all atoms from Si at (0.0000, 0.0000, 0.0000), Mo at (0.0000, 0.0000, 0.2479), Rh at (0.0000, 0.0000, 0.4986) and Rh at (0.0000, 0.0000, 0.7380).

The following is a PBE calculation of a relaxed structure of SiMoRh2, from Alexandria.

The calculation puts the final energy at -7.965 eV per atom.

It has space group F-43m (No. 216), with a = 6.099 Å, b = 6.099 Å, c = 6.099 Å, α = 90.00°, β = 90.00° and γ = 90.00°. Symmetry generates all atoms from Si at (0.000, 0.000, 0.000), Mo at (0.250, 0.250, 0.750), Rh at (0.000, 0.000, 0.500) and Rh at (0.250, 0.250, 0.250).

The following is a PBE calculation of a relaxed structure of Si2MoRh, from Alexandria.

The calculation puts the final energy at -7.656 eV per atom.

It has space group P4mm (No. 99), with a = 3.204 Å, b = 3.204 Å, c = 5.467 Å, α = 90.00°, β = 90.00° and γ = 90.00°. Symmetry generates all atoms from Si at (0.000, 0.000, 0.000), Si at (0.500, 0.500, 0.269), Mo at (0.000, 0.000, 0.471) and Rh at (0.500, 0.500, 0.811).

The following is a PBE calculation of a relaxed structure of SiMoRh2, from Alexandria.

The calculation puts the final energy at -8.028 eV per atom.

It has space group I-4m2 (No. 119), with a = 3.860 Å, b = 3.860 Å, c = 7.589 Å, α = 90.00°, β = 90.00° and γ = 90.00°. Symmetry generates all atoms from Si at (0.000, 0.000, 0.000), Mo at (0.000, 0.500, 0.750), Rh at (0.000, 0.000, 0.500) and Rh at (0.000, 0.500, 0.250).

Sequential total magnetization output: 0.0, 0.0, 0.0, 0.0 μB per formula unit